Entry 1:
Computed, not measured: crystalline Hg6IF9 at its relaxed geometry at the PBE-GGA level of DFT.

Cell lengths 7.204, 9.856, 7.266 Å; angles 119.54, 109.57, 108.73 degrees
Positions (direct):
Hg (0.576, 0.673, 0.838)
Hg (0.424, 0.327, 0.162)
Hg (0.938, 0.523, 0.155)
Hg (0.062, 0.477, 0.845)
Hg (0.738, 0.825, 0.454)
Hg (0.262, 0.175, 0.546)
I (0.000, 0.000, 0.000)
F (0.965, 0.837, 0.285)
F (0.444, 0.610, 0.434)
F (0.852, 0.580, 0.433)
F (0.504, 0.820, 0.137)
F (0.035, 0.163, 0.715)
F (0.556, 0.390, 0.566)
F (0.148, 0.420, 0.567)
F (0.496, 0.180, 0.863)
F (0.500, 0.500, 0.000)

* space-group type: P-1, No. 2
* formation energy (no corrections): -116.86 kJ per mole of atoms

***

Entry 2:
Computed, not measured: crystalline Hg12I3F5 at its relaxed geometry at the PBE-GGA level of DFT.

Cell lengths 14.733, 14.733, 14.733 Å; angles 109.47, 109.47, 109.47 degrees
Positions (direct):
I (0.750, 0.375, 0.125)
I (0.875, 0.750, 0.125)
I (0.375, 0.750, 0.625)
I (0.250, 0.125, 0.375)
I (0.875, 0.125, 0.250)
I (0.375, 0.625, 0.250)
I (0.625, 0.375, 0.750)
I (0.125, 0.875, 0.750)
I (0.750, 0.875, 0.625)
I (0.625, 0.250, 0.375)
I (0.125, 0.250, 0.875)
I (0.250, 0.625, 0.875)
F (0.125, 0.375, 0.250)
F (0.000, 0.500, 0.000)
F (0.000, 0.000, 0.000)
F (0.375, 0.250, 0.125)
F (0.500, 0.000, 0.500)
F (0.500, 0.500, 0.000)
F (0.125, 0.750, 0.375)
F (0.750, 0.125, 0.875)
F (0.750, 0.625, 0.375)
F (0.375, 0.125, 0.750)
F (0.625, 0.875, 0.250)
F (0.500, 0.500, 0.500)
F (0.500, 0.000, 0.000)
F (0.000, 0.000, 0.500)
F (0.250, 0.375, 0.625)
F (0.250, 0.875, 0.125)
F (0.000, 0.500, 0.500)
F (0.875, 0.250, 0.625)
F (0.625, 0.750, 0.875)
F (0.875, 0.625, 0.750)
Hg (0.672, 0.036, 0.973)
Hg (0.301, 0.473, 0.436)
Hg (0.027, 0.464, 0.328)
Hg (0.473, 0.172, 0.036)
Hg (0.635, 0.672, 0.699)
Hg (0.027, 0.564, 0.199)
Hg (0.301, 0.828, 0.365)
Hg (0.064, 0.865, 0.036)
Hg (0.564, 0.027, 0.699)
Hg (0.672, 0.635, 0.199)
Hg (0.828, 0.527, 0.464)
Hg (0.801, 0.936, 0.973)
Hg (0.036, 0.672, 0.473)
Hg (0.464, 0.436, 0.135)
Hg (0.135, 0.936, 0.464)
Hg (0.365, 0.036, 0.564)
Hg (0.135, 0.199, 0.172)
Hg (0.527, 0.699, 0.064)
Hg (0.801, 0.865, 0.328)
Hg (0.036, 0.365, 0.064)
Hg (0.464, 0.027, 0.828)
Hg (0.564, 0.536, 0.365)
Hg (0.936, 0.801, 0.473)
Hg (0.828, 0.301, 0.865)
Hg (0.436, 0.464, 0.635)
Hg (0.064, 0.199, 0.527)
Hg (0.172, 0.699, 0.135)
Hg (0.199, 0.135, 0.672)
Hg (0.536, 0.973, 0.172)
Hg (0.964, 0.635, 0.936)
Hg (0.473, 0.301, 0.936)
Hg (0.635, 0.964, 0.436)
Hg (0.865, 0.801, 0.828)
Hg (0.865, 0.064, 0.536)
Hg (0.964, 0.328, 0.527)
Hg (0.199, 0.064, 0.027)
Hg (0.536, 0.564, 0.865)
Hg (0.436, 0.973, 0.301)
Hg (0.328, 0.365, 0.801)
Hg (0.172, 0.473, 0.536)
Hg (0.936, 0.135, 0.964)
Hg (0.699, 0.172, 0.635)
Hg (0.527, 0.828, 0.964)
Hg (0.973, 0.436, 0.801)
Hg (0.365, 0.328, 0.301)
Hg (0.973, 0.536, 0.672)
Hg (0.699, 0.527, 0.564)
Hg (0.328, 0.964, 0.027)

* space-group type: Ia-3d, No. 230
* formation energy (no corrections): -40.33 kJ per mole of atoms

***

Entry 3:
Computed, not measured: crystalline HgIF2 at its relaxed geometry at the PBE-GGA level of DFT.

Cell lengths 4.354, 5.738, 8.985 Å; angles 101.26, 96.16, 90.13 degrees
Positions (direct):
Hg (0.278, 0.844, 0.551)
Hg (0.777, 0.342, 0.552)
I (0.610, 0.852, 0.077)
I (0.447, 0.334, 0.027)
F (0.752, 0.621, 0.434)
F (0.250, 0.124, 0.435)
F (0.303, 0.565, 0.669)
F (0.805, 0.062, 0.669)

* space-group type: P-1, No. 2
* formation energy (no corrections): -96.99 kJ per mole of atoms

***

Entry 4:
Computed, not measured: crystalline Hg2I2F at its relaxed geometry at the PBE-GGA level of DFT.

Cell lengths 6.143, 8.651, 12.165 Å; angles 90.00, 90.00, 90.00 degrees
Positions (direct):
Hg (0.750, 0.444, 0.816)
Hg (0.250, 0.056, 0.316)
Hg (0.250, 0.556, 0.184)
Hg (0.750, 0.944, 0.684)
Hg (0.750, 0.820, 0.028)
Hg (0.250, 0.680, 0.528)
Hg (0.250, 0.180, 0.972)
Hg (0.750, 0.320, 0.472)
I (0.750, 0.631, 0.564)
I (0.250, 0.869, 0.064)
I (0.250, 0.369, 0.436)
I (0.750, 0.131, 0.936)
I (0.750, 0.055, 0.329)
I (0.250, 0.445, 0.829)
I (0.250, 0.945, 0.671)
I (0.750, 0.555, 0.171)
F (0.750, 0.221, 0.650)
F (0.250, 0.279, 0.150)
F (0.250, 0.779, 0.350)
F (0.750, 0.721, 0.850)

* space-group type: Pnma, No. 62
* formation energy (no corrections): -49.98 kJ per mole of atoms

***

Entry 5:
Computed, not measured: crystalline HgIF2 at its relaxed geometry at the PBE-GGA level of DFT.

Cell lengths 6.828, 6.828, 6.403 Å; angles 57.78, 57.78, 90.00 degrees
Last column: magnetic moment on the atom in μB.
Positions (direct):
I (0.500, 0.500, 0.000)  0.64
I (0.250, 0.750, 0.500)  0.64
Hg (0.000, 0.000, 0.000)  -0.01
Hg (0.750, 0.250, 0.500)  -0.01
F (0.735, 0.125, 0.250)  0.02
F (0.015, 0.625, 0.250)  0.02
F (0.375, 0.265, 0.750)  0.03
F (0.875, 0.985, 0.750)  0.02

* space-group type: I-42d, No. 122
* formation energy (no corrections): -71.50 kJ per mole of atoms

***

Entry 6:
Computed, not measured: crystalline InHgIF2 at its relaxed geometry at the PBE-GGA level of DFT.

Cell lengths 4.492, 4.492, 6.166 Å; angles 90.00, 90.00, 90.00 degrees
Positions (direct):
I (0.000, 0.000, 0.500)
F (0.000, 0.500, 0.000)
F (0.500, 0.000, 0.000)
Hg (0.500, 0.500, 0.500)
In (0.000, 0.000, 0.000)

* space-group type: P4/mmm, No. 123
* formation energy (no corrections): -118.61 kJ per mole of atoms

***

Entry 7:
Computed, not measured: crystalline InHg2IF at its relaxed geometry at the PBE-GGA level of DFT.

Cell lengths 5.771, 5.771, 4.471 Å; angles 90.00, 90.00, 90.00 degrees
Positions (direct):
I (0.500, 0.500, 0.500)
F (0.000, 0.000, 0.500)
Hg (0.000, 0.500, 0.000)
Hg (0.500, 0.000, 0.000)
In (0.000, 0.000, 0.000)

* space-group type: P4/mmm, No. 123
* formation energy (no corrections): -63.47 kJ per mole of atoms

***

Entry 8:
Computed, not measured: crystalline HgIr2IF at its relaxed geometry at the PBE-GGA level of DFT.

Cell lengths 5.135, 4.290, 5.135 Å; angles 90.00, 90.00, 90.00 degrees
Last column: magnetic moment on the atom in μB.
Positions (direct):
I (0.500, 0.500, 0.500)  0.02
Ir (0.000, 0.000, 0.500)  0.75
Ir (0.500, 0.000, 0.000)  0.65
Hg (0.000, 0.000, 0.000)  0.00
F (0.000, 0.500, 0.000)  0.00

* space-group type: P4/mmm, No. 123
* formation energy (no corrections): 126.95 kJ per mole of atoms

***

Entry 9:
Computed, not measured: crystalline KHgIF2 at its relaxed geometry at the PBE-GGA level of DFT.

Cell lengths 4.939, 7.040, 8.189 Å; angles 86.20, 90.00, 90.00 degrees
Positions (direct):
K (0.750, 0.160, 0.610)
K (0.250, 0.840, 0.390)
Hg (0.250, 0.841, 0.888)
Hg (0.750, 0.159, 0.112)
I (0.750, 0.498, 0.233)
I (0.250, 0.502, 0.767)
F (0.750, 0.972, 0.909)
F (0.250, 0.028, 0.091)
F (0.250, 0.049, 0.649)
F (0.750, 0.951, 0.351)

* space-group type: P2_1/m, No. 11
* formation energy (no corrections): -155.37 kJ per mole of atoms

***

Entry 10:
Computed, not measured: crystalline K2HgIF at its relaxed geometry at the PBE-GGA level of DFT.

Cell lengths 5.460, 5.460, 5.618 Å; angles 90.00, 90.00, 90.00 degrees
Positions (direct):
I (0.500, 0.500, 0.500)
K (0.000, 0.500, 0.000)
K (0.500, 0.000, 0.000)
Hg (0.000, 0.000, 0.500)
F (0.000, 0.000, 0.000)

* space-group type: P4/mmm, No. 123
* formation energy (no corrections): -144.81 kJ per mole of atoms

***

Entry 11:
Computed, not measured: crystalline K2HgIF at its relaxed geometry at the PBE-GGA level of DFT.

Cell lengths 6.698, 6.749, 6.698 Å; angles 90.00, 90.00, 90.00 degrees
Positions (direct):
I (0.000, 0.000, 0.000)
K (0.000, 0.000, 0.500)
K (0.500, 0.000, 0.000)
Hg (0.000, 0.500, 0.000)
F (0.500, 0.500, 0.500)

* space-group type: P4/mmm, No. 123
* formation energy (no corrections): -94.77 kJ per mole of atoms

***

Entry 12:
Computed, not measured: crystalline K2HgI2F2 at its relaxed geometry at the PBE-GGA level of DFT.

Cell lengths 4.933, 4.933, 9.407 Å; angles 105.20, 105.20, 90.00 degrees
Positions (direct):
K (0.401, 0.401, 0.802)
K (0.599, 0.599, 0.198)
Hg (0.000, 0.000, 0.000)
I (0.161, 0.161, 0.322)
I (0.839, 0.839, 0.678)
F (0.000, 0.500, 0.000)
F (0.500, 0.000, 0.000)

* space-group type: I4/mmm, No. 139
* formation energy (no corrections): -153.17 kJ per mole of atoms

***

> Among the records above, which one has the highest formation energy (no corrections)?

HgIr2IF

***

> Which formula does entry 3 have?

HgIF2

***

> Among the records above, which one has the lowest formation energy (no corrections)?

KHgIF2

***

> Look up the formation energy (no corrections) of the fifth one.

-71.50 kJ per mole of atoms